Record 1
This record from the Alexandria database describes a relaxed structure of CdRu2Rh. The functional is GGA-PBE.

The raw total energy is -6.309 eV per atom. The calculation puts the theoretical density at 11.26 Mg/m³.

It has space group P4/mmm (No. 123), with a = 3.840 Å, b = 3.840 Å, c = 4.174 Å, α = 90.00°, β = 90.00° and γ = 90.00°. The distinct sites, in fractional coordinates, are Cd at (0.000, 0.000, 0.000), Ru at (0.000, 0.500, 0.500) and Rh at (0.500, 0.500, 0.000).

---

Record 2
This record from the Alexandria database describes a relaxed structure of CdRu2Rh. The functional is GGA-PBE.

The raw total energy is -5.919 eV per atom. The calculation puts the theoretical density at 9.94 Mg/m³.

It has space group I-42d (No. 122), with a = 7.308 Å, b = 7.308 Å, c = 5.222 Å, α = 90.00°, β = 90.00° and γ = 90.00°. The distinct sites, in fractional coordinates, are Cd at (0.000, 0.000, 0.000), Ru at (0.205, 0.250, 0.625) and Rh at (0.000, 0.000, 0.500).

---

Record 3
This record from the Alexandria database describes a relaxed structure of Cd2RuRh. The functional is GGA-PBE.

The raw total energy is -4.405 eV per atom. The calculation puts the theoretical density at 10.25 Mg/m³.

It has space group Imm2 (No. 44), with a = 2.917 Å, b = 4.803 Å, c = 9.915 Å, α = 90.00°, β = 90.00° and γ = 90.00°. The distinct sites, in fractional coordinates, are Cd at (0.000, 0.000, 0.000), Cd at (0.000, 0.500, 0.222), Ru at (0.000, 0.500, 0.755) and Rh at (0.000, 0.000, 0.470).

---

Repeat the second record exactly.
This record from the Alexandria database describes a relaxed structure of CdRu2Rh. The functional is GGA-PBE.

The raw total energy is -5.919 eV per atom. The calculation puts the theoretical density at 9.94 Mg/m³.

It has space group I-42d (No. 122), with a = 7.308 Å, b = 7.308 Å, c = 5.222 Å, α = 90.00°, β = 90.00° and γ = 90.00°. The distinct sites, in fractional coordinates, are Cd at (0.000, 0.000, 0.000), Ru at (0.205, 0.250, 0.625) and Rh at (0.000, 0.000, 0.500).